{
  "formula": "CoIBr",
  "functional": "PBE-GGA",
  "state": "relaxed",
  "lattice_angstrom": [[6.406, 0.000, 0.000], [0.000, 3.864, 0.000], [-0.970, 0.000, 7.494]],
  "species": ["Co", "Co", "I", "I", "Br", "Br"],
  "frac_coords": [[0.225, 0.250, 0.000], [0.775, 0.750, 0.000], [0.124, 0.750, 0.230], [0.876, 0.250, 0.770], [0.382, 0.750, 0.824], [0.618, 0.250, 0.176]],
  "magmom_total_mub_per_fu": 3.0,
  "raw_formation_energy_ev_per_atom": -0.1143,
  "e_above_lowest_polymorph_ev_per_fu": 0.00
}

=====

{
  "formula": "CoIBr3",
  "functional": "PBE-GGA",
  "state": "relaxed",
  "lattice_angstrom": [[6.448, 0.000, 0.000], [0.011, 7.336, 0.000], [3.156, 3.655, 5.791]],
  "species": ["Co", "Co", "I", "I", "Br", "Br", "Br", "Br", "Br", "Br"],
  "frac_coords": [[0.017, 0.260, 0.479], [0.983, 0.740, 0.521], [0.210, 0.616, 0.769], [0.790, 0.384, 0.231], [0.237, 0.106, 0.259], [0.237, 0.634, 0.259], [0.263, 0.170, 0.659], [0.737, 0.830, 0.341], [0.763, 0.366, 0.741], [0.763, 0.894, 0.741]],
  "magmom_total_mub_per_fu": 0.0,
  "raw_formation_energy_ev_per_atom": -0.1237,
  "e_above_lowest_polymorph_ev_per_fu": 0.00
}

=====

{
  "formula": "CoIBr",
  "functional": "PBE-GGA",
  "state": "relaxed",
  "lattice_angstrom": [[3.756, 0.000, 0.000], [-1.878, 3.253, 0.000], [0.000, 0.000, 6.749]],
  "species": ["Co", "I", "Br"],
  "frac_coords": [[0.000, 0.000, 0.000], [0.333, 0.667, 0.787], [0.667, 0.333, 0.200]],
  "magmom_total_mub_per_fu": 0.9,
  "raw_formation_energy_ev_per_atom": -0.0680,
  "e_above_lowest_polymorph_ev_per_fu": 0.14
}

=====

{
  "formula": "CoI3Br",
  "functional": "PBE-GGA",
  "state": "relaxed",
  "lattice_angstrom": [[5.311, 0.000, 0.000], [0.000, 5.311, 0.000], [0.000, 0.000, 5.311]],
  "species": ["Co", "I", "I", "I", "Br"],
  "frac_coords": [[0.000, 0.000, 0.000], [0.000, 0.000, 0.500], [0.000, 0.500, 0.000], [0.500, 0.000, 0.000], [0.500, 0.500, 0.500]],
  "magmom_total_mub_per_fu": 2.4,
  "raw_formation_energy_ev_per_atom": 0.3017,
  "e_above_lowest_polymorph_ev_per_fu": 1.50
}